[1]
VASP calculation (PBE-GGA) on crystalline K3Zr3RhSe8 at its relaxed geometry.

Results
- space-group type = No. 12
- raw total energy (eV per cell) = -81.9
- M_tot (μB/atom) = 0.0000
- uncorrected formation energy (eV/atom) = -1.18

Cell: 7.702 7.702 9.083 Å, 115.07 115.07 60.04°
Sites, in units of the cell vectors:
K 0.000 0.000 0.000
K 0.000 0.500 0.000
K 0.500 0.000 0.000
Zr 0.000 0.500 0.500
Zr 0.500 0.000 0.500
Zr 0.500 0.500 0.500
Rh 0.000 0.000 0.500
Se 0.224 0.224 0.691
Se 0.224 0.743 0.691
Se 0.257 0.776 0.309
Se 0.266 0.266 0.297
Se 0.734 0.734 0.703
Se 0.743 0.224 0.691
Se 0.776 0.257 0.309
Se 0.776 0.776 0.309



[2]
VASP calculation (PBE-GGA) on crystalline KSi2Rh at its relaxed geometry.

Results
- space-group type = No. 47
- raw total energy (eV per cell) = -19.9
- M_tot (μB/atom) = 0.0000
- uncorrected formation energy (eV/atom) = -0.15

Cell: 2.828 3.606 7.519 Å, 90.00 90.00 90.00°
Sites, in units of the cell vectors:
K 0.000 0.000 0.000
Si 0.500 0.500 0.335
Si 0.500 0.500 0.665
Rh 0.000 0.000 0.500